{
  "formula": "Sr2TiCoW",
  "functional": "PBE",
  "state": "optimized geometry",
  "cell": [[5.948, 0.000, 0.000], [0.000, 5.948, 0.000], [0.000, 0.000, 4.502]],
  "species": ["Sr", "Sr", "Ti", "Co", "W"],
  "frac_coords": [[0.000, 0.500, 0.000], [0.500, 0.000, 0.000], [0.000, 0.000, 0.000], [0.500, 0.500, 0.500], [0.000, 0.000, 0.500]],
  "space_group": "P4/mmm, No. 123",
  "volume_a3_per_cell": 159,
  "ef_ev_per_atom": 1.695,
  "dos_ef_per_ev_fu": 9.20
}



{
  "formula": "Zn3Se",
  "functional": "PBE",
  "state": "optimized geometry",
  "cell": [[3.923, 0.000, 0.000], [-1.714, 6.008, 0.000], [-0.410, -0.754, 6.604]],
  "species": ["Zn", "Zn", "Zn", "Zn", "Zn", "Zn", "Se", "Se"],
  "frac_coords": [[0.000, 0.000, 0.000], [0.021, 0.163, 0.367], [0.147, 0.345, 0.748], [0.463, 0.817, 0.272], [0.513, 0.089, 0.617], [0.657, 0.321, 0.009], [0.367, 0.763, 0.842], [0.875, 0.558, 0.329]],
  "formation_energy_uncorrected_ev_per_atom": -0.138,
  "space_group": "P1, No. 1",
  "e_above_lowest_polymorph_kj_per_mol_atoms": 2.7,
  "volume_a3_per_cell": 156,
  "dos_ef_per_ev_fu": 1.03
}



{
  "formula": "CeSm2Y3As6",
  "functional": "PBE",
  "state": "optimized geometry",
  "cell": [[9.077, -2.087, 0.000], [9.077, 2.087, 0.000], [-1.902, 0.000, 8.119]],
  "species": ["Ce", "Sm", "Sm", "Y", "Y", "Y", "As", "As", "As", "As", "As", "As"],
  "frac_coords": [[0.000, 0.000, 0.000], [0.333, 0.333, 0.665], [0.667, 0.667, 0.335], [0.000, 0.000, 0.500], [0.333, 0.333, 0.167], [0.667, 0.667, 0.833], [0.165, 0.165, 0.587], [0.167, 0.167, 0.080], [0.499, 0.499, 0.251], [0.501, 0.501, 0.749], [0.833, 0.833, 0.920], [0.835, 0.835, 0.413]],
  "space_group": "C2/m, No. 12",
  "volume_a3_per_cell": 308,
  "ef_ev_per_atom": -1.530,
  "dos_ef_per_ev_fu": 6.07
}



{
  "formula": "CePr2In6",
  "functional": "PBE",
  "state": "optimized geometry",
  "cell": [[8.736, 0.000, 0.000], [-4.368, 7.566, 0.000], [0.000, 0.000, 3.718]],
  "species": ["Ce", "Pr", "Pr", "In", "In", "In", "In", "In", "In"],
  "frac_coords": [[0.000, 0.000, 0.000], [0.333, 0.667, 0.000], [0.667, 0.333, 0.000], [0.000, 0.333, 0.500], [0.000, 0.667, 0.500], [0.333, 0.000, 0.500], [0.333, 0.333, 0.500], [0.667, 0.000, 0.500], [0.667, 0.667, 0.500]],
  "space_group": "P6/mmm, No. 191",
  "volume_a3_per_cell": 246,
  "ef_ev_per_atom": -0.437,
  "dos_ef_per_ev_fu": 8.17
}



{
  "formula": "BaPr2Nd3Te6",
  "functional": "PBE",
  "state": "optimized geometry",
  "cell": [[9.995, -2.280, 0.000], [9.995, 2.280, 0.000], [-2.204, 0.000, 8.970]],
  "species": ["Ba", "Pr", "Pr", "Nd", "Nd", "Nd", "Te", "Te", "Te", "Te", "Te", "Te"],
  "frac_coords": [[0.000, 0.000, 0.000], [0.329, 0.329, 0.656], [0.671, 0.671, 0.344], [0.000, 0.000, 0.500], [0.337, 0.337, 0.180], [0.663, 0.663, 0.820], [0.164, 0.164, 0.583], [0.174, 0.174, 0.083], [0.497, 0.497, 0.734], [0.503, 0.503, 0.266], [0.826, 0.826, 0.917], [0.836, 0.836, 0.417]],
  "formation_energy_uncorrected_ev_per_atom": -1.466,
  "space_group": "C2/m, No. 12",
  "volume_a3_per_cell": 409,
  "dos_ef_per_ev_fu": 5.98
}



{
  "formula": "CeAgP2S8",
  "functional": "PBE",
  "state": "optimized geometry",
  "cell": [[6.323, 0.000, 0.000], [-3.161, 5.476, 0.000], [0.000, 0.000, 8.951]],
  "species": ["Ce", "Ag", "P", "P", "S", "S", "S", "S", "S", "S", "S", "S"],
  "frac_coords": [[0.000, 0.000, 0.000], [0.000, 0.000, 0.500], [0.333, 0.667, 0.180], [0.667, 0.333, 0.820], [0.158, 0.315, 0.261], [0.158, 0.842, 0.261], [0.315, 0.158, 0.739], [0.333, 0.667, 0.957], [0.667, 0.333, 0.043], [0.685, 0.842, 0.261], [0.842, 0.158, 0.739], [0.842, 0.685, 0.739]],
  "formation_energy_uncorrected_ev_per_atom": -0.397,
  "space_group": "P-3m1, No. 164",
  "volume_a3_per_cell": 310,
  "dos_ef_per_ev_fu": 5.63
}



{
  "formula": "ScCuNi3",
  "functional": "PBE",
  "state": "optimized geometry",
  "cell": [[-2.678, 3.429, 3.934], [2.678, -3.429, 3.934], [2.678, 3.429, -3.934]],
  "species": ["Sc", "Sc", "Cu", "Cu", "Ni", "Ni", "Ni", "Ni", "Ni", "Ni"],
  "frac_coords": [[0.227, 0.227, 0.000], [0.773, 0.773, 0.000], [0.500, 0.214, 0.714], [0.500, 0.786, 0.286], [0.175, 0.273, 0.448], [0.175, 0.727, 0.903], [0.227, 0.727, 0.500], [0.773, 0.273, 0.500], [0.825, 0.273, 0.097], [0.825, 0.727, 0.552]],
  "space_group": "Immm, No. 71",
  "e_above_lowest_polymorph_kj_per_mol_atoms": 0.0,
  "volume_a3_per_cell": 144,
  "ef_ev_per_atom": 0.064,
  "dos_ef_per_ev_fu": 4.87
}



{
  "formula": "La2RhN",
  "functional": "PBE",
  "state": "optimized geometry",
  "cell": [[6.862, 0.000, 0.000], [0.000, 6.862, 0.000], [0.000, 0.000, 6.862]],
  "species": ["La", "La", "La", "La", "La", "La", "La", "La", "Rh", "Rh", "Rh", "Rh", "N", "N", "N", "N"],
  "frac_coords": [[0.250, 0.250, 0.250], [0.250, 0.250, 0.750], [0.250, 0.750, 0.250], [0.250, 0.750, 0.750], [0.750, 0.250, 0.250], [0.750, 0.250, 0.750], [0.750, 0.750, 0.250], [0.750, 0.750, 0.750], [0.000, 0.000, 0.000], [0.000, 0.500, 0.500], [0.500, 0.000, 0.500], [0.500, 0.500, 0.000], [0.000, 0.000, 0.500], [0.000, 0.500, 0.000], [0.500, 0.000, 0.000], [0.500, 0.500, 0.500]],
  "formation_energy_uncorrected_ev_per_atom": -0.366,
  "space_group": "Fm-3m, No. 225",
  "e_above_lowest_polymorph_kj_per_mol_atoms": 46.1,
  "volume_a3_per_cell": 323,
  "dos_ef_per_ev_fu": 0.00
}



{
  "formula": "CeYSi",
  "functional": "PBE",
  "state": "optimized geometry",
  "cell": [[6.917, 0.000, 0.000], [0.000, 6.917, 0.000], [0.000, 0.000, 6.917]],
  "species": ["Ce", "Ce", "Ce", "Ce", "Y", "Y", "Y", "Y", "Si", "Si", "Si", "Si"],
  "frac_coords": [[0.000, 0.000, 0.000], [0.000, 0.500, 0.500], [0.500, 0.000, 0.500], [0.500, 0.500, 0.000], [0.000, 0.000, 0.500], [0.000, 0.500, 0.000], [0.500, 0.000, 0.000], [0.500, 0.500, 0.500], [0.250, 0.250, 0.750], [0.250, 0.750, 0.250], [0.750, 0.250, 0.250], [0.750, 0.750, 0.750]],
  "formation_energy_uncorrected_ev_per_atom": -0.360,
  "space_group": "F-43m, No. 216",
  "e_above_lowest_polymorph_kj_per_mol_atoms": 20.3,
  "volume_a3_per_cell": 331,
  "dos_ef_per_ev_fu": 8.43
}



{
  "formula": "Hf6VRh5",
  "functional": "PBE",
  "state": "optimized geometry",
  "cell": [[-2.294, 3.300, 6.877], [2.294, -3.300, 6.877], [2.294, 3.300, -6.877]],
  "species": ["Hf", "Hf", "Hf", "Hf", "Hf", "Hf", "V", "Rh", "Rh", "Rh", "Rh", "Rh"],
  "frac_coords": [[0.083, 0.335, 0.748], [0.246, 0.000, 0.246], [0.413, 0.665, 0.748], [0.587, 0.335, 0.252], [0.754, 0.000, 0.754], [0.917, 0.665, 0.252], [0.000, 0.500, 0.500], [0.167, 0.167, 0.000], [0.331, 0.831, 0.500], [0.500, 0.500, 0.000], [0.669, 0.169, 0.500], [0.833, 0.833, 0.000]],
  "space_group": "Immm, No. 71",
  "volume_a3_per_cell": 208,
  "ef_ev_per_atom": -0.734,
  "dos_ef_per_ev_fu": 9.18
}



{
  "formula": "BrClF2",
  "functional": "PBE",
  "state": "optimized geometry",
  "cell": [[4.583, 0.000, 0.000], [0.000, 4.583, 0.000], [0.000, 0.000, 14.356]],
  "species": ["Br", "Br", "Br", "Br", "Cl", "Cl", "Cl", "Cl", "F", "F", "F", "F", "F", "F", "F", "F"],
  "frac_coords": [[0.000, 0.000, 0.000], [0.000, 0.500, 0.250], [0.500, 0.000, 0.750], [0.500, 0.500, 0.500], [0.000, 0.000, 0.500], [0.000, 0.500, 0.750], [0.500, 0.000, 0.250], [0.500, 0.500, 0.000], [0.084, 0.250, 0.125], [0.250, 0.584, 0.375], [0.250, 0.916, 0.875], [0.416, 0.250, 0.625], [0.584, 0.750, 0.625], [0.750, 0.084, 0.875], [0.750, 0.416, 0.375], [0.916, 0.750, 0.125]],
  "formation_energy_uncorrected_ev_per_atom": 0.097,
  "space_group": "I-42d, No. 122",
  "e_above_lowest_polymorph_kj_per_mol_atoms": 66.8,
  "volume_a3_per_cell": 302,
  "dos_ef_per_ev_fu": 4.92
}



{
  "formula": "Nb12Al3V",
  "functional": "PBE",
  "state": "optimized geometry",
  "cell": [[5.200, 0.000, 0.000], [0.000, 5.232, 0.000], [0.000, 0.000, 10.359]],
  "species": ["Nb", "Nb", "Nb", "Nb", "Nb", "Nb", "Nb", "Nb", "Nb", "Nb", "Nb", "Nb", "Al", "Al", "Al", "V"],
  "frac_coords": [[0.000, 0.000, 0.124], [0.000, 0.000, 0.375], [0.000, 0.000, 0.625], [0.000, 0.000, 0.876], [0.254, 0.500, 0.000], [0.254, 0.500, 0.500], [0.500, 0.247, 0.247], [0.500, 0.247, 0.753], [0.500, 0.753, 0.247], [0.500, 0.753, 0.753], [0.746, 0.500, 0.000], [0.746, 0.500, 0.500], [0.000, 0.500, 0.251], [0.000, 0.500, 0.749], [0.500, 0.000, 0.500], [0.500, 0.000, 0.000]],
  "space_group": "Pmmm, No. 47",
  "volume_a3_per_cell": 282,
  "ef_ev_per_atom": -0.162,
  "dos_ef_per_ev_fu": 21.13
}